Computed, not measured: a geometry-optimized ReAu2Se structure at the PBE level of DFT.

abc: 2.9765 4.6163 5.1035
angles: 90.00 90.00 90.00
Closest atoms and distances in Å follow each position.
Atoms (fractional coordinates):
Re  0.0000  0.0000  0.0000  4 Se 2.75, 4 Au 2.95, 2 Re 2.98
Au  0.0000  0.5000  0.5000  6 Au 2.75-2.98, 4 Se 2.95
Au  0.5000  0.0000  0.5000  6 Au 2.75-2.98, 4 Re 2.95
Se  0.5000  0.5000  0.0000  4 Re 2.75, 4 Au 2.95, 2 Se 2.98

## Properties
**SG**: Pmmm, No. 47
**E_form (uncorrected)**: 17.166 kcal/mol of atoms

---

Computed, not measured: a geometry-optimized NdCrCu4 structure at the PBE level of DFT.

abc: 5.1239 5.1239 5.1239
angles: 60.00 60.00 60.00
Closest atoms and distances in Å follow each position.
Atoms (fractional coordinates):
Nd  0.0000  0.0000  0.0000  12 Cu 3.01, 4 Cr 3.14
Cr  0.7500  0.7500  0.7500  12 Cu 3.00, 4 Nd 3.14
Cu  0.3769  0.3769  0.3769  6 Cu 2.52-2.60
Cu  0.3769  0.3769  0.8693  6 Cu 2.52-2.60
Cu  0.3769  0.8693  0.3769  6 Cu 2.52-2.60
Cu  0.8693  0.3769  0.3769  6 Cu 2.52-2.60

## Properties
**SG**: F-43m, No. 216
**Raw total energy**: -30.586 eV per cell